(1)
! Ti2Zn2Pd (PBE-GGA, relaxed); values from VASP
&SYSTEM
  ibrav = 0, nat = 5, ntyp = 3
/
ATOMIC_SPECIES
Pd 106.42 Pd.upf
Ti 47.87 Ti.upf
Zn 65.41 Zn.upf
CELL_PARAMETERS angstrom
3.3815 0.0000 0.0000
0.0000 3.3815 0.0000
1.6908 1.6908 7.5521
ATOMIC_POSITIONS crystal
Pd 0.0000 0.0000 0.0000
Ti 0.5950 0.5950 0.8100
Ti 0.4050 0.4050 0.1900
Zn 0.2500 0.7500 0.5000
Zn 0.7500 0.2500 0.5000
! energy above the most stable polymorph in this dataset = 0.399 eV per atom
! DFT formation energy = 0.11 eV/atom

(2)
! Eu2GdTaO6 (PBE-GGA, relaxed); values from VASP
&SYSTEM
  ibrav = 0, nat = 10, ntyp = 4
/
ATOMIC_SPECIES
Ta 180.95 Ta.upf
O 16.00 O.upf
Gd 157.25 Gd.upf
Eu 151.96 Eu.upf
CELL_PARAMETERS angstrom
-4.5779 3.8560 -0.1014
-5.5919 -1.9703 0.8277
-2.9188 1.3146 5.0585
ATOMIC_POSITIONS crystal
Ta 0.0000 0.0000 0.0000
O 0.2355 0.7645 0.2355
O 0.2355 0.2355 0.7645
O 0.7645 0.2355 0.7645
O 0.2355 0.7645 0.7645
O 0.7645 0.7645 0.2355
O 0.7645 0.2355 0.2355
Gd 0.5000 0.5000 0.5000
Eu 0.2500 0.2500 0.2500
Eu 0.7500 0.7500 0.7500
! uncorrected formation energy = -3.000 eV/atom

(3)
! ZnSbIr2 (PBE-GGA, relaxed); values from VASP
&SYSTEM
  ibrav = 0, nat = 4, ntyp = 3
/
ATOMIC_SPECIES
Zn 65.41 Zn.upf
Ir 192.22 Ir.upf
Sb 121.76 Sb.upf
CELL_PARAMETERS angstrom
-2.8929 3.0085 -2.0714
-3.7946 -2.6616 -0.4766
2.3742 0.7311 3.9420
ATOMIC_POSITIONS crystal
Zn 0.2500 0.7500 0.5000
Ir 0.0001 0.0001 0.0000
Ir 0.4999 0.4999 0.0000
Sb 0.7500 0.2500 0.5000
! energy above the most stable polymorph in this dataset = 0.000 eV per atom
! uncorrected formation energy = -0.041 eV/atom

(4)
! Tm3CdNi (PBE-GGA, relaxed); values from VASP
&SYSTEM
  ibrav = 0, nat = 5, ntyp = 3
/
ATOMIC_SPECIES
Tm 168.93 Tm.upf
Ni 58.69 Ni.upf
Cd 112.41 Cd.upf
CELL_PARAMETERS angstrom
5.1421 0.0000 0.0000
0.0000 5.1421 0.0000
0.0000 0.0000 5.1421
ATOMIC_POSITIONS crystal
Tm 0.0000 0.0000 0.5000
Tm 0.0000 0.5000 0.0000
Tm 0.5000 0.0000 0.0000
Ni 0.0000 0.0000 0.0000
Cd 0.5000 0.5000 0.5000
! energy above the most stable polymorph in this dataset = 0.155 eV per atom
! DFT formation energy = -0.13 eV/atom